1.
A plane-wave DFT calculation with SCAN was carried out for a PBEsol-optimized structure of Ni6O7. Values from VASP.

```
&SYSTEM
  ibrav = 0, nat = 26, ntyp = 2
/
ATOMIC_SPECIES
O 16.00 O.upf
Ni 58.69 Ni.upf
CELL_PARAMETERS angstrom
4.9911 0.0157 -0.0244
1.6761 5.4678 0.0106
0.9115 -0.2356 8.6102
ATOMIC_POSITIONS crystal
O 0.9710 0.9000 0.1406
O 0.6572 0.4786 0.7096
O 0.7981 0.1829 0.4254
O 0.6534 0.9482 0.6971
O 0.5083 0.2399 0.0157
O 0.3428 0.5214 0.2904
O 0.3466 0.0518 0.3029
O 0.0338 0.6346 0.8623
O 0.1979 0.3255 0.5575
O 0.0290 0.1000 0.8594
O 0.4917 0.7601 0.9843
O 0.8021 0.6745 0.4425
O 0.9662 0.3654 0.1377
O 0.2019 0.8171 0.5746
Ni 0.0631 0.3626 0.3531
Ni 0.2158 0.5715 0.0677
Ni 0.2302 0.0659 0.0671
Ni 0.7698 0.9341 0.9329
Ni 0.5000 0.5000 0.5000
Ni 0.9369 0.6374 0.6469
Ni 0.0829 0.8508 0.3514
Ni 0.9171 0.1492 0.6486
Ni 0.6424 0.2101 0.2187
Ni 0.5000 0.0000 0.5000
Ni 0.7842 0.4285 0.9323
Ni 0.3576 0.7899 0.7813
```

ΔE_f (raw): -1.223 eV/atom
Mass density: 6.56 g/cm3



2.
A plane-wave DFT calculation with SCAN was carried out for a PBEsol-optimized structure of VSi4Mo. Values from VASP.

```
&SYSTEM
  ibrav = 0, nat = 18, ntyp = 3
/
ATOMIC_SPECIES
Mo 95.94 Mo.upf
V 50.94 V.upf
Si 28.09 Si.upf
CELL_PARAMETERS angstrom
-3.6442 1.9954 1.8923
0.8903 -4.4011 0.8535
7.0958 3.3920 10.0886
ATOMIC_POSITIONS crystal
Mo 0.0000 0.5000 0.7502
Mo 0.5000 0.5000 0.4150
Mo 0.5000 0.5000 0.9181
V 0.5000 0.0000 0.5818
V 0.5000 0.0000 0.0847
V 0.0000 0.5000 0.2502
Si 0.6768 0.8423 0.2479
Si 0.8351 0.1620 0.9202
Si 0.1649 0.8380 0.9202
Si 0.1593 0.3219 0.5820
Si 0.3232 0.1577 0.2479
Si 0.8338 0.1634 0.4155
Si 0.1605 0.3250 0.0867
Si 0.3285 0.1616 0.7477
Si 0.6715 0.8384 0.7477
Si 0.8395 0.6750 0.0867
Si 0.1662 0.8366 0.4155
Si 0.8407 0.6781 0.5820
```

ΔE_f (raw): -0.437 eV/atom
Mass density: 5.58 g/cm3



3.
A plane-wave DFT calculation with SCAN was carried out for a PBEsol-optimized structure of Cs3PdO. Values from VASP.

```
&SYSTEM
  ibrav = 0, nat = 5, ntyp = 3
/
ATOMIC_SPECIES
Cs 132.91 Cs.upf
Pd 106.42 Pd.upf
O 16.00 O.upf
CELL_PARAMETERS angstrom
6.0617 0.0000 0.0000
0.0000 6.0617 0.0000
0.0000 0.0000 6.0617
ATOMIC_POSITIONS crystal
Cs 0.0000 0.5000 0.0000
Cs 0.0000 0.0000 0.5000
Cs 0.5000 0.0000 0.0000
Pd 0.0000 0.0000 0.0000
O 0.5000 0.5000 0.5000
```

ΔE_f (raw): 0.118 eV/atom
Mass density: 3.89 g/cm3



4.
A plane-wave DFT calculation with SCAN was carried out for a PBEsol-optimized structure of LiY2Ir. Values from VASP.

```
&SYSTEM
  ibrav = 0, nat = 4, ntyp = 3
/
ATOMIC_SPECIES
Y 88.91 Y.upf
Ir 192.22 Ir.upf
Li 6.94 Li.upf
CELL_PARAMETERS angstrom
4.8593 0.0000 0.0000
2.4296 4.2083 0.0000
2.4296 1.4028 3.9676
ATOMIC_POSITIONS crystal
Y 0.2500 0.2500 0.2500
Y 0.7500 0.7500 0.7500
Ir 0.5000 0.5000 0.5000
Li 0.0000 0.0000 0.0000
```

Mass density: 7.72 g/cm3
Energy of formation: -0.69 eV per atom



5.
A plane-wave DFT calculation with SCAN was carried out for a PBEsol-optimized structure of Zn24Ag5. Values from VASP.

```
&SYSTEM
  ibrav = 0, nat = 29, ntyp = 2
/
ATOMIC_SPECIES
Zn 65.41 Zn.upf
Ag 107.87 Ag.upf
CELL_PARAMETERS angstrom
-5.1080 -4.9950 -3.9705
6.9454 -3.9721 1.6704
-3.4738 2.4657 6.9756
ATOMIC_POSITIONS crystal
Zn 0.3781 0.1893 0.0000
Zn 0.1888 0.8107 0.8107
Zn 0.8107 0.8107 0.1888
Zn 0.2728 0.5914 0.5914
Zn 0.0000 0.1893 0.3781
Zn 0.6814 0.4086 0.0000
Zn 0.0000 0.4086 0.6814
Zn 0.1893 0.0000 0.3781
Zn 0.6219 0.8112 0.6219
Zn 0.8107 0.1888 0.8107
Zn 0.3186 0.7272 0.3186
Zn 0.0000 0.3781 0.1893
Zn 0.5914 0.5914 0.2728
Zn 0.5914 0.2728 0.5914
Zn 0.6219 0.6219 0.8112
Zn 0.0000 0.6814 0.4086
Zn 0.7272 0.3186 0.3186
Zn 0.4086 0.0000 0.6814
Zn 0.8112 0.6219 0.6219
Zn 0.3186 0.3186 0.7272
Zn 0.1893 0.3781 0.0000
Zn 0.4086 0.6814 0.0000
Zn 0.3781 0.0000 0.1893
Zn 0.6814 0.0000 0.4086
Ag 0.0000 0.0000 0.6453
Ag 0.0000 0.6453 0.0000
Ag 0.6453 0.0000 0.0000
Ag 0.0000 0.0000 0.0000
Ag 0.3547 0.3547 0.3547
```

Mass density: 8.33 g/cm3
Energy of formation: 0.02 eV per atom



6.
A plane-wave DFT calculation with SCAN was carried out for a PBEsol-optimized structure of La2AlTe. Values from VASP.

```
&SYSTEM
  ibrav = 0, nat = 4, ntyp = 3
/
ATOMIC_SPECIES
Te 127.60 Te.upf
La 138.91 La.upf
Al 26.98 Al.upf
CELL_PARAMETERS angstrom
4.1808 0.0000 0.0000
0.0000 4.8129 -0.0168
-2.0904 -0.4791 5.8695
ATOMIC_POSITIONS crystal
Te 0.5313 0.3995 0.0627
La 0.9881 0.8868 0.9762
La 0.2555 0.3606 0.5109
Al 0.7251 0.8531 0.4502
```

ΔE_f (raw): -0.908 eV/atom
Mass density: 6.08 g/cm3
Distance to the lowest polymorph of the same formula: 0.049 eV per atom



7.
A plane-wave DFT calculation with SCAN was carried out for a PBEsol-optimized structure of Sc3Mn2. Values from VASP.

```
&SYSTEM
  ibrav = 0, nat = 5, ntyp = 2
/
ATOMIC_SPECIES
Sc 44.96 Sc.upf
Mn 54.94 Mn.upf
CELL_PARAMETERS angstrom
-2.3576 2.4828 -2.8094
-1.5551 -0.8293 4.0632
2.5415 4.5695 1.9054
ATOMIC_POSITIONS crystal
Sc 0.0000 0.0000 0.0000
Sc 0.3333 0.6667 0.3449
Sc 0.6667 0.3333 0.6551
Mn 0.3333 0.6667 0.8828
Mn 0.6667 0.3333 0.1172
```

Mass density: 4.30 g/cm3
Energy of formation: 0.10 eV per atom



8.
A plane-wave DFT calculation with SCAN was carried out for a PBEsol-optimized structure of Zn2W. Values from VASP.

```
&SYSTEM
  ibrav = 0, nat = 3, ntyp = 2
/
ATOMIC_SPECIES
W 183.84 W.upf
Zn 65.41 Zn.upf
CELL_PARAMETERS angstrom
2.7288 0.0000 0.0000
0.0000 4.2315 0.0000
0.0000 -2.1157 3.6646
ATOMIC_POSITIONS crystal
W 0.5000 0.0000 0.0000
Zn 0.0000 0.3333 0.6667
Zn 0.0000 0.6667 0.3333
```

Mass density: 12.35 g/cm3
Energy of formation: 0.39 eV per atom